Entry 1:
# Ti12Al3Ir5 (PBE, optimized geometry)
data_Ti12Al3Ir5
_chemical_formula_sum 'Ti96 Al24 Ir40'
_space_group_name_H-M_alt 'I a -3 d'
_space_group_IT_number 230
_space_group_name_Hall '-I 4bd 2c 3'
_cell_length_a 14.924
_cell_length_b 14.924
_cell_length_c 14.924
_cell_angle_alpha 90.00
_cell_angle_beta 90.00
_cell_angle_gamma 90.00
loop_
_atom_site_label
_atom_site_type_symbol
_atom_site_fract_x
_atom_site_fract_y
_atom_site_fract_z
Ti1 Ti 0.018 0.070 0.650
Al1 Al 0.000 0.250 0.125
Ir1 Ir 0.000 0.000 0.000
Ir2 Ir 0.000 0.250 0.375
# * DFT formation energy: 0.22 eV/atom

***

Entry 2:
# Ti4AlIr5 (PBE, optimized geometry)
data_Ti4AlIr5
_chemical_formula_sum 'Ti4 Al1 Ir5'
_space_group_name_H-M_alt 'P 4/m m m'
_space_group_IT_number 123
_space_group_name_Hall '-P 4 2'
_cell_length_a 3.186
_cell_length_b 3.186
_cell_length_c 14.716
_cell_angle_alpha 90.00
_cell_angle_beta 90.00
_cell_angle_gamma 90.00
loop_
_atom_site_label
_atom_site_type_symbol
_atom_site_fract_x
_atom_site_fract_y
_atom_site_fract_z
Ti1 Ti 0.000 0.000 0.100
Ti2 Ti 0.000 0.000 0.303
Al1 Al 0.000 0.000 0.500
Ir1 Ir 0.500 0.500 0.000
Ir2 Ir 0.500 0.500 0.201
Ir3 Ir 0.500 0.500 0.402
# * DFT formation energy: -0.83 eV/atom

***

Entry 3:
# Ti5AlIr6 (PBE, optimized geometry)
data_Ti5AlIr6
_chemical_formula_sum 'Ti10 Al2 Ir12'
_space_group_name_H-M_alt 'I m m m'
_space_group_IT_number 71
_space_group_name_Hall '-I 2 2'
_cell_length_a 4.190
_cell_length_b 6.847
_cell_length_c 12.423
_cell_angle_alpha 90.00
_cell_angle_beta 90.00
_cell_angle_gamma 90.00
loop_
_atom_site_label
_atom_site_type_symbol
_atom_site_fract_x
_atom_site_fract_y
_atom_site_fract_z
Ti1 Ti 0.000 0.000 0.000
Ti2 Ti 0.000 0.000 0.325
Ti3 Ti 0.000 0.500 0.346
Al1 Al 0.000 0.500 0.000
Ir1 Ir 0.000 0.229 0.500
Ir2 Ir 0.000 0.263 0.167
# * DFT formation energy: -0.90 eV/atom

***

Entry 4:
# TiAl6Ir (PBE, optimized geometry)
data_TiAl6Ir
_chemical_formula_sum 'Ti2 Al12 Ir2'
_space_group_name_H-M_alt 'A m m 2'
_space_group_IT_number 38
_space_group_name_Hall 'A 2 -2'
_cell_length_a 4.163
_cell_length_b 6.921
_cell_length_c 8.628
_cell_angle_alpha 90.00
_cell_angle_beta 90.00
_cell_angle_gamma 90.00
loop_
_atom_site_label
_atom_site_type_symbol
_atom_site_fract_x
_atom_site_fract_y
_atom_site_fract_z
Ti1 Ti 0.000 0.000 0.000
Al1 Al 0.000 0.212 0.279
Al2 Al 0.500 0.000 0.203
Al3 Al 0.500 0.000 0.777
Al4 Al 0.500 0.201 0.490
Ir1 Ir 0.000 0.000 0.590
# * E above lowest polymorph: 0.0 kJ/mol of atoms
# * DFT formation energy: -0.39 eV/atom

***

no.,Fermi-level density of states (states/eV/cell),raw total energy (Ry per atom)
1,211.67,-0.5362
2,8.72,-0.6459
3,17.47,-0.6564
4,7.76,-0.3890